1.
A relaxed ZnCrNi2C crystal, computed with PBE.

abc: 3.8077 3.8077 3.8479
angles: 90.00 90.00 90.00
Fractional coordinates of all 5 atoms:
Ni 0.0000 0.5000 0.0000
Ni 0.5000 0.0000 0.0000
Zn 0.5000 0.5000 0.5000
C 0.0000 0.0000 0.0000
Cr 0.0000 0.0000 0.5000

As for the total energy: -6.32 eV/atom. The total magnetization comes out at 2.01 Bohr magnetons per cell. The formation energy comes out at 0.0133 eV/atom.

***

2.
A relaxed Np2Cr2C3 crystal, computed with PBE.

abc: 2.9787 5.2260 6.0889
angles: 116.40 104.16 90.00
Fractional coordinates of all 7 atoms:
Np 0.5868 0.7505 0.1736
Np 0.4132 0.2495 0.8264
Cr 0.8377 0.6823 0.6755
Cr 0.1623 0.3177 0.3245
C 0.0000 0.0000 0.0000
C 0.7523 0.2493 0.5045
C 0.2477 0.7507 0.4955

As for the total energy: -10.53 eV/atom. The total magnetization comes out at 0.00 Bohr magnetons per cell. The formation energy comes out at -0.1313 eV/atom.

***

3.
A relaxed Np2Cr2P2C crystal, computed with PBE.

abc: 3.9013 3.9013 7.4885
angles: 105.10 105.10 90.00
Fractional coordinates of all 7 atoms:
Np 0.1721 0.1721 0.3443
Np 0.8279 0.8279 0.6557
Cr 0.0000 0.5000 0.0000
Cr 0.5000 0.0000 0.0000
P 0.3859 0.3859 0.7719
P 0.6141 0.6141 0.2281
C 0.0000 0.0000 0.0000

As for the total energy: -9.75 eV/atom. The total magnetization comes out at 7.90 Bohr magnetons per cell. The formation energy comes out at -0.4445 eV/atom.

***

4.
A relaxed NpCr2PC crystal, computed with PBE.

abc: 3.4406 5.6453 7.1878
angles: 90.00 90.00 107.74
Fractional coordinates of all 10 atoms:
Np 0.4621 0.9241 0.7500
Np 0.5379 0.0759 0.2500
Cr 0.1726 0.3451 0.9426
Cr 0.8274 0.6549 0.0574
Cr 0.1726 0.3451 0.5574
Cr 0.8274 0.6549 0.4426
P 0.7429 0.4858 0.7500
P 0.2571 0.5142 0.2500
C 0.0000 0.0000 0.0000
C 0.0000 0.0000 0.5000

As for the total energy: -9.77 eV/atom. The total magnetization comes out at 5.67 Bohr magnetons per cell. The formation energy comes out at -0.4058 eV/atom.